No. 1
Density functional theory data (PBE) for a geometry-optimized SnGeAu structure. Values from VASP.

The structure in Quantum ESPRESSO input format:
```
&SYSTEM
  ibrav = 0, nat = 3, ntyp = 3
/
ATOMIC_SPECIES
Sn 118.71 Sn.upf
Au 196.97 Au.upf
Ge 72.64 Ge.upf
CELL_PARAMETERS angstrom
-1.7633 0.7903 -4.2176
-3.0210 -2.9956 -1.8497
-4.4595 1.1915 -0.4637
ATOMIC_POSITIONS crystal
Sn 0.5000 0.5000 0.5000
Au 0.2500 0.2500 0.2500
Ge 0.0000 0.0000 0.0000
```

Output
Raw total energy (eV/cell): -11.9
Magnetic moment (μB/f.u.): 0.000
DFT formation energy (eV per atom): 0.0030
Symmetry: F-43m, No. 216

---

No. 2
Density functional theory data (PBE) for a geometry-optimized AgPt2Au structure. Values from VASP.

The structure in Quantum ESPRESSO input format:
```
&SYSTEM
  ibrav = 0, nat = 4, ntyp = 3
/
ATOMIC_SPECIES
Pt 195.08 Pt.upf
Au 196.97 Au.upf
Ag 107.87 Ag.upf
CELL_PARAMETERS angstrom
5.6621 0.0088 0.0033
2.8209 4.9094 -0.0033
-3.5280 -3.6898 2.4491
ATOMIC_POSITIONS crystal
Pt 0.7593 0.2593 0.5000
Pt 0.9930 0.9930 0.0000
Au 0.2428 0.7428 0.5000
Ag 0.5050 0.5050 0.0000
```

Output
Raw total energy (eV/cell): -17.9
Magnetic moment (μB/f.u.): 0.000
DFT formation energy (eV per atom): 0.0754
Energy relative to the lowest polymorph listed for this composition (eV/f.u.): 0.437
Symmetry: Imm2, No. 44

---

No. 3
Density functional theory data (PBE) for a geometry-optimized PrEuNiGe structure. Values from VASP.

The structure in Quantum ESPRESSO input format:
```
&SYSTEM
  ibrav = 0, nat = 4, ntyp = 4
/
ATOMIC_SPECIES
Ge 72.64 Ge.upf
Ni 58.69 Ni.upf
Pr 140.91 Pr.upf
Eu 151.96 Eu.upf
CELL_PARAMETERS angstrom
-3.1997 -1.4825 3.7255
1.6753 -0.3360 4.8369
-1.5959 3.3853 3.5082
ATOMIC_POSITIONS crystal
Ge 0.2500 0.2500 0.2500
Ni 0.7500 0.7500 0.7500
Pr 0.5000 0.5000 0.5000
Eu 0.0000 0.0000 0.0000
```

Output
Raw total energy (eV/cell): -26.9
Magnetic moment (μB/f.u.): 6.550
DFT formation energy (eV per atom): -0.3523
Symmetry: F-43m, No. 216

---

No. 4
Density functional theory data (PBE) for a geometry-optimized Pm5NpRu4 structure. Values from VASP.

The structure in Quantum ESPRESSO input format:
```
&SYSTEM
  ibrav = 0, nat = 10, ntyp = 3
/
ATOMIC_SPECIES
Np 237.00 Np.upf
Ru 101.07 Ru.upf
Pm 145.00 Pm.upf
CELL_PARAMETERS angstrom
-2.7046 -2.1541 2.5803
5.5153 -4.1292 2.3339
0.4167 8.2091 3.6833
ATOMIC_POSITIONS crystal
Np 0.5000 0.0000 0.0000
Ru 0.9869 0.7900 0.9737
Ru 0.6391 0.2755 0.2781
Ru 0.0131 0.2100 0.0263
Ru 0.3609 0.7245 0.7219
Pm 0.1739 0.5548 0.3478
Pm 0.5000 0.5000 0.0000
Pm 0.1648 0.0393 0.3295
Pm 0.8261 0.4452 0.6522
Pm 0.8352 0.9607 0.6705
```

Output
Raw total energy (eV/cell): -75.7
Magnetic moment (μB/f.u.): 1.318
DFT formation energy (eV per atom): -0.1861
Symmetry: C2/m, No. 12

---

No. 5
Density functional theory data (PBE) for a geometry-optimized Ca5P4 structure. Values from VASP.

The structure in Quantum ESPRESSO input format:
```
&SYSTEM
  ibrav = 0, nat = 9, ntyp = 2
/
ATOMIC_SPECIES
Ca 40.08 Ca.upf
P 30.97 P.upf
CELL_PARAMETERS angstrom
-5.0966 5.0966 2.3211
5.0966 -5.0966 2.3211
5.0966 5.0966 -2.3211
ATOMIC_POSITIONS crystal
Ca 0.6814 0.6814 0.3627
Ca 0.6814 0.3186 0.0000
Ca 0.3186 0.6814 0.0000
Ca 0.0000 0.0000 0.0000
Ca 0.3186 0.3186 0.6373
P 0.0000 0.7356 0.7356
P 0.0000 0.2644 0.2644
P 0.2644 0.0000 0.2644
P 0.7356 0.0000 0.7356
```

Output
Raw total energy (eV/cell): -35.2
Magnetic moment (μB/f.u.): 1.597
DFT formation energy (eV per atom): -0.4003
Energy relative to the lowest polymorph listed for this composition (eV/f.u.): 4.907
Symmetry: I4/mmm, No. 139

---

No. 6
Density functional theory data (PBE) for a geometry-optimized SnSb2IN structure. Values from VASP.

The structure in Quantum ESPRESSO input format:
```
&SYSTEM
  ibrav = 0, nat = 5, ntyp = 4
/
ATOMIC_SPECIES
Sb 121.76 Sb.upf
N 14.01 N.upf
I 126.90 I.upf
Sn 118.71 Sn.upf
CELL_PARAMETERS angstrom
-4.2854 0.5606 -2.3985
-0.8454 -4.8555 0.3756
-2.2749 0.7236 4.2337
ATOMIC_POSITIONS crystal
Sb 0.0000 0.5000 0.0000
Sb 0.5000 0.0000 0.0000
N 0.0000 0.0000 0.0000
I 0.0000 0.0000 0.5000
Sn 0.5000 0.5000 0.5000
```

Output
Raw total energy (eV/cell): -18.7
Magnetic moment (μB/f.u.): 0.000
Energy relative to the lowest polymorph listed for this composition (eV/f.u.): 0.000
Symmetry: P4/mmm, No. 123

---

No. 7
Density functional theory data (PBE) for a geometry-optimized Pr2ClF structure. Values from VASP.

The structure in Quantum ESPRESSO input format:
```
&SYSTEM
  ibrav = 0, nat = 4, ntyp = 3
/
ATOMIC_SPECIES
F 19.00 F.upf
Cl 35.45 Cl.upf
Pr 140.91 Pr.upf
CELL_PARAMETERS angstrom
-0.1332 0.3645 -3.5208
-3.1284 0.0235 -1.6610
-1.4778 8.1948 -0.8776
ATOMIC_POSITIONS crystal
F 0.0000 0.0000 0.0000
Cl 0.5000 0.5000 0.5000
Pr 0.7410 0.7410 0.7770
Pr 0.2590 0.2590 0.2230
```

Output
Raw total energy (eV/cell): -20.5
Magnetic moment (μB/f.u.): 0.000
Symmetry: R-3m, No. 166

---

No. 8
Density functional theory data (PBE) for a geometry-optimized UTl2Se2Br2 structure. Values from VASP.

The structure in Quantum ESPRESSO input format:
```
&SYSTEM
  ibrav = 0, nat = 7, ntyp = 4
/
ATOMIC_SPECIES
Se 78.96 Se.upf
Tl 204.38 Tl.upf
Br 79.90 Br.upf
U 238.03 U.upf
CELL_PARAMETERS angstrom
5.5647 0.0000 0.0000
0.0000 5.5647 0.0000
-2.7824 -2.7824 8.3405
ATOMIC_POSITIONS crystal
Se 0.0000 0.5000 0.0000
Se 0.5000 0.0000 0.0000
Tl 0.3783 0.3783 0.7565
Tl 0.6217 0.6217 0.2434
Br 0.1687 0.1687 0.3375
Br 0.8313 0.8313 0.6625
U 0.0000 0.0000 0.0000
```

Output
Raw total energy (eV/cell): -32.9
Magnetic moment (μB/f.u.): 2.000
Symmetry: I4/mmm, No. 139

---

No. 9
Density functional theory data (PBE) for a geometry-optimized Ga3AsCl structure. Values from VASP.

The structure in Quantum ESPRESSO input format:
```
&SYSTEM
  ibrav = 0, nat = 5, ntyp = 3
/
ATOMIC_SPECIES
Ga 69.72 Ga.upf
As 74.92 As.upf
Cl 35.45 Cl.upf
CELL_PARAMETERS angstrom
5.2126 0.0000 0.0000
0.0000 5.2126 0.0000
0.0000 0.0000 5.2126
ATOMIC_POSITIONS crystal
Ga 0.0000 0.5000 0.0000
Ga 0.5000 0.0000 0.0000
Ga 0.0000 0.0000 0.5000
As 0.5000 0.5000 0.5000
Cl 0.0000 0.0000 0.0000
```

Output
Raw total energy (eV/cell): -13.6
Magnetic moment (μB/f.u.): 0.000
Energy relative to the lowest polymorph listed for this composition (eV/f.u.): 1.346
Symmetry: Pm-3m, No. 221

---

No. 10
Density functional theory data (PBE) for a geometry-optimized CdCoAgI2 structure. Values from VASP.

The structure in Quantum ESPRESSO input format:
```
&SYSTEM
  ibrav = 0, nat = 5, ntyp = 4
/
ATOMIC_SPECIES
Co 58.93 Co.upf
Ag 107.87 Ag.upf
I 126.90 I.upf
Cd 112.41 Cd.upf
CELL_PARAMETERS angstrom
-2.6436 3.0098 -3.3409
1.2095 -3.2192 -3.8572
-4.3278 -2.7552 0.9424
ATOMIC_POSITIONS crystal
Co 0.0000 0.0000 0.0000
Ag 0.0000 0.5000 0.0000
I 0.5000 0.0000 0.0000
I 0.0000 0.0000 0.5000
Cd 0.5000 0.5000 0.5000
```

Output
Raw total energy (eV/cell): -11.9
Magnetic moment (μB/f.u.): 1.490
Energy relative to the lowest polymorph listed for this composition (eV/f.u.): 0.000
Symmetry: P4/mmm, No. 123

---

No. 11
Density functional theory data (PBE) for a geometry-optimized TcSeO2F structure. Values from VASP.

The structure in Quantum ESPRESSO input format:
```
&SYSTEM
  ibrav = 0, nat = 5, ntyp = 4
/
ATOMIC_SPECIES
Se 78.96 Se.upf
O 16.00 O.upf
Tc 98.00 Tc.upf
F 19.00 F.upf
CELL_PARAMETERS angstrom
3.8682 0.0000 0.0000
0.0000 3.8682 0.0000
0.0000 0.0000 4.4330
ATOMIC_POSITIONS crystal
Se 0.5000 0.5000 0.5000
O 0.0000 0.5000 0.0000
O 0.5000 0.0000 0.0000
Tc 0.0000 0.0000 0.0000
F 0.0000 0.0000 0.5000
```

Output
Raw total energy (eV/cell): -28.5
Magnetic moment (μB/f.u.): 2.367
Symmetry: P4/mmm, No. 123

---

No. 12
Density functional theory data (PBE) for a geometry-optimized Pm2SnCl8 structure. Values from VASP.

The structure in Quantum ESPRESSO input format:
```
&SYSTEM
  ibrav = 0, nat = 11, ntyp = 3
/
ATOMIC_SPECIES
Cl 35.45 Cl.upf
Pm 145.00 Pm.upf
Sn 118.71 Sn.upf
CELL_PARAMETERS angstrom
-0.1981 3.8156 5.5612
-0.1408 -7.6170 1.1280
8.7195 0.1117 0.2343
ATOMIC_POSITIONS crystal
Cl 0.0643 0.1286 0.6730
Cl 0.3260 0.6521 0.4762
Cl 0.6740 0.3479 0.5238
Cl 0.8761 0.2620 0.1559
Cl 0.1239 0.7380 0.8441
Cl 0.3860 0.2620 0.1559
Cl 0.9357 0.8714 0.3270
Cl 0.6140 0.7380 0.8441
Pm 0.8564 0.7127 0.6154
Pm 0.1436 0.2873 0.3846
Sn 0.0000 0.0000 0.0000
```

Output
Raw total energy (eV/cell): -48.1
Magnetic moment (μB/f.u.): 0.000
Energy relative to the lowest polymorph listed for this composition (eV/f.u.): 0.230
Symmetry: C2/m, No. 12